1.
PBE ZrIrW2, relaxed; D(E_F) = 3.92 states/eV per cell; formation energy from the elements = -7 meV per atom
1.0
-2.437 -3.865 -2.654
-2.066 -3.807 3.026
-0.126 5.193 -0.966
Ir W Zr
1 2 1
Cartesian
-2.188 -1.168 1.121
-4.478 -7.629 0.370
-2.464 -1.350 -1.712
-2.253 -3.839 0.186



2.
PBE Tb3Nd2Th3, relaxed; D(E_F) = 11.61 states/eV per cell; formation energy from the elements = 174 meV per atom
1.0
-0.423 1.537 3.286
-8.519 2.474 -2.254
1.509 -8.102 3.983
Tb Nd Th
3 2 3
Cartesian
-8.136 0.050 0.959
-2.059 -6.358 4.738
-4.460 -2.642 2.691
-5.175 -1.051 -0.175
-1.834 -4.575 1.904
1.171 -6.287 3.091
-6.611 1.919 -1.749
-1.570 -1.261 0.387



3.
PBE Tb8OsPb2, relaxed; D(E_F) = 9.41 states/eV per cell; formation energy from the elements = -259 meV per atom
1.0
5.076 0.000 0.000
0.000 6.735 -0.002
-2.538 -2.822 9.325
Tb Os Pb
8 1 2
Cartesian
0.000 1.372 7.694
2.538 5.911 2.673
2.538 2.967 5.281
2.538 -1.301 8.987
0.000 0.946 4.042
0.000 -1.998 6.649
2.538 2.541 1.629
0.000 5.214 0.336
2.538 0.000 0.000
2.538 -0.146 5.970
0.000 4.059 3.353